Record 1
This record from Alexandria describes crystalline Sm5PuIn4 at its relaxed geometry. The functional is PBE.

Cell lengths 3.624, 3.624, 21.770 Å; angles 90.00, 90.00, 90.00 degrees
Fractional positions:
Sm 0.500 0.500 0.304
In 0.000 0.000 0.402
In 0.000 0.000 0.205
In 0.000 0.000 0.598
Pu 0.000 0.000 0.000
Sm 0.500 0.500 0.890
Sm 0.500 0.500 0.500
In 0.000 0.000 0.795
Sm 0.500 0.500 0.696
Sm 0.500 0.500 0.110

Summary:
**Raw total energy**: -5.23 eV/atom
**Total moment**: 0.630 μB per atom

Record 2
This record from Alexandria describes crystalline SmPu2In at its relaxed geometry. The functional is PBE.

Cell lengths 5.170, 4.593, 4.593 Å; angles 90.00, 90.00, 90.00 degrees
Fractional positions:
Sm 0.500 0.500 0.500
Pu 0.000 0.500 0.000
Pu 0.000 0.000 0.500
In 0.500 0.000 0.000

Summary:
**Total moment**: 3.006 μB per atom
**Energy above the most stable polymorph in this dataset**: 0.00 eV/f.u.

Record 3
This record from Alexandria describes crystalline Sm3PuIn4 at its relaxed geometry. The functional is PBE.

Cell lengths 3.808, 3.808, 15.418 Å; angles 90.00, 90.00, 90.00 degrees
Fractional positions:
Sm 0.500 0.500 0.500
Sm 0.500 0.500 0.248
In 0.000 0.000 0.124
Sm 0.500 0.500 0.752
In 0.000 0.000 0.876
In 0.000 0.000 0.626
In 0.000 0.000 0.374
Pu 0.500 0.500 0.000

Summary:
**Raw total energy**: -5.31 eV/atom
**Total moment**: 0.723 μB per atom

Record 4
This record from Alexandria describes crystalline SmPuIn2Te4 at its relaxed geometry. The functional is PBE.

Cell lengths 4.473, 7.747, 8.481 Å; angles 107.74, 90.00, 90.00 degrees
Fractional positions:
Pu 0.500 0.500 0.000
In 0.000 0.500 0.500
Te 0.500 0.241 0.225
Te 0.000 0.739 0.222
In 0.500 0.000 0.500
Sm 0.000 0.000 0.000
Te 0.500 0.759 0.775
Te 0.000 0.261 0.778

Summary:
**E_form (uncorrected)**: -647 kJ/mol of formula units
**Total moment**: 0.633 μB per atom

Record 5
This record from Alexandria describes crystalline SmPuTlIn at its relaxed geometry. The functional is PBE.

Cell lengths 5.426, 5.426, 5.426 Å; angles 60.00, 60.00, 60.00 degrees
Fractional positions:
Sm 0.250 0.250 0.250
Pu 0.750 0.750 0.750
Tl 0.000 0.000 0.000
In 0.500 0.500 0.500

Summary:
**Raw total energy**: -6.25 eV/atom
**Total moment**: 1.546 μB per atom

Record 6
This record from Alexandria describes crystalline Pu5In2Sn at its relaxed geometry. The functional is PBE.

Cell lengths 6.640, 6.517, 6.633 Å; angles 119.57, 89.93, 121.20 degrees
Fractional positions:
Pu 0.278 0.278 0.000
In 0.778 0.278 0.500
Pu 0.278 0.278 0.500
Pu 0.778 0.278 0.000
In 0.278 0.778 0.500
Sn 0.778 0.778 0.000
Pu 0.278 0.778 0.000
Pu 0.778 0.778 0.500

Summary:
**Raw total energy**: -10.25 eV/atom
**Total moment**: 0.704 μB per atom

Record 7
This record from Alexandria describes crystalline PuIn4Sn at its relaxed geometry. The functional is PBE.

Cell lengths 4.543, 4.572, 7.798 Å; angles 72.95, 90.00, 89.99 degrees
Fractional positions:
In 0.500 0.169 0.662
In 0.000 0.335 0.330
Sn 0.500 0.500 0.000
In 0.500 0.831 0.338
In 0.000 0.665 0.670
Pu 0.000 0.000 0.000

Summary:
**Total moment**: 0.954 μB per atom
**Energy above the most stable polymorph in this dataset**: 0.00 eV/f.u.

Record 8
This record from Alexandria describes crystalline PuIn4Sn at its relaxed geometry. The functional is PBE.

Cell lengths 6.118, 6.118, 6.118 Å; angles 60.00, 60.00, 60.00 degrees
Fractional positions:
In 0.625 0.625 0.125
In 0.625 0.625 0.625
In 0.625 0.125 0.625
Pu 0.000 0.000 0.000
Sn 0.250 0.250 0.250
In 0.125 0.625 0.625

Summary:
**Total moment**: 1.048 μB per atom
**Energy above the most stable polymorph in this dataset**: 1.04 eV/f.u.

In A^3/atom, the calculated volume values for the records above are, in order, 28.59; 27.26; 27.94; 34.99; 28.25; 25.08; 25.81; 26.98.